# 1
Below is crystalline SmGePt at its relaxed geometry, with properties calculated at the GGA-PBE level.

## Properties
E_form in kJ/mol of formula units: -311

```
3
Lattice="4.461 0.000 0.000 -2.230 3.863 0.000 0.000 0.000 3.643" Properties=species:S:1:pos:R:3 pbc="T T T"
Sm 0.000 0.000 0.000
Ge 0.000 2.576 1.821
Pt 2.230 1.288 1.821
```

***

# 2
Below is crystalline SmGePt at its relaxed geometry, with properties calculated at the GGA-PBE level.

## Properties
E_form in kJ/mol of formula units: -306

```
6
Lattice="5.301 -2.190 0.000 5.301 2.190 0.000 -4.848 0.000 5.357" Properties=species:S:1:pos:R:3 pbc="T T T"
Sm -0.983 0.000 1.676
Sm 6.737 0.000 3.681
Ge -0.814 0.000 4.873
Ge 6.568 0.000 0.484
Pt 2.058 0.000 1.509
Pt 3.696 0.000 3.848
```

***

# 3
Below is crystalline SmGePt4 at its relaxed geometry, with properties calculated at the GGA-PBE level.

## Properties
Excess energy over the best structure of this formula in the dataset in eV/f.u.: 0.00
E_form in kJ/mol of formula units: -432

```
12
Lattice="7.668 0.000 0.000 0.000 4.026 0.000 0.000 0.000 7.018" Properties=species:S:1:pos:R:3 pbc="T T T"
Sm 1.917 0.000 0.968
Sm 5.751 0.000 6.050
Ge 1.917 0.000 5.072
Ge 5.751 0.000 1.947
Pt 0.000 0.000 3.509
Pt 0.378 2.013 5.664
Pt 1.917 2.013 3.155
Pt 3.456 2.013 5.664
Pt 3.834 0.000 3.509
Pt 4.212 2.013 1.355
Pt 5.751 2.013 3.863
Pt 7.290 2.013 1.355
```

***

# 4
Below is crystalline SmGe2Pt6 at its relaxed geometry, with properties calculated at the GGA-PBE level.

## Properties
E_form in kJ/mol of formula units: -461

```
9
Lattice="5.205 -2.905 0.000 5.205 2.905 0.000 -0.832 0.000 5.334" Properties=species:S:1:pos:R:3 pbc="T T T"
Sm 0.000 0.000 0.000
Ge 3.906 0.000 0.769
Ge 5.672 0.000 4.565
Pt 2.294 1.354 3.996
Pt 4.789 1.494 2.667
Pt 7.284 1.354 1.337
Pt 2.294 -1.354 3.996
Pt 4.789 -1.494 2.667
Pt 7.284 -1.354 1.337
```

***

# 5
Below is crystalline SmGePt3 at its relaxed geometry, with properties calculated at the GGA-PBE level.

## Properties
Excess energy over the best structure of this formula in the dataset in eV/f.u.: 0.00
E_form in kJ/mol of formula units: -441

```
5
Lattice="-2.044 2.044 5.670 2.044 -2.044 5.670 2.044 2.044 -5.670" Properties=species:S:1:pos:R:3 pbc="T T T"
Sm 0.000 0.000 0.000
Ge 0.000 0.000 4.216
Pt 2.044 0.000 2.799
Pt 0.000 0.000 6.594
Pt 0.000 2.044 2.799
```

***

# 6
Below is crystalline Sm2Ge3Pt at its relaxed geometry, with properties calculated at the GGA-PBE level.

## Properties
Excess energy over the best structure of this formula in the dataset in eV/f.u.: 0.17
E_form in kJ/mol of formula units: -503

```
6
Lattice="4.096 0.000 0.000 0.000 4.423 0.000 0.000 0.000 7.244" Properties=species:S:1:pos:R:3 pbc="T T T"
Sm 0.000 0.000 0.000
Sm 0.000 2.212 3.607
Ge 2.048 0.000 4.799
Ge 2.048 2.212 1.249
Ge 2.048 2.212 6.005
Pt 2.048 0.000 2.353
```

***

# 7
Below is crystalline Sm2GePt5 at its relaxed geometry, with properties calculated at the GGA-PBE level.

## Properties
E_form in kJ/mol of formula units: -689

```
8
Lattice="-2.970 2.970 4.354 2.970 -2.970 4.354 2.970 2.970 -4.354" Properties=species:S:1:pos:R:3 pbc="T T T"
Sm 2.970 0.000 0.000
Sm 0.000 2.970 0.000
Ge 0.000 0.000 1.078
Pt 0.000 0.000 4.402
Pt 1.567 1.567 2.235
Pt 1.402 -1.402 6.589
Pt -1.402 1.402 6.589
Pt 1.402 1.402 6.589
```

***

# 8
Below is crystalline Sm3Ge3Pt8 at its relaxed geometry, with properties calculated at the GGA-PBE level.

## Properties
E_form in kJ/mol of formula units: -1251

```
14
Lattice="8.067 -2.217 0.000 8.067 2.217 0.000 -4.839 0.000 7.412" Properties=species:S:1:pos:R:3 pbc="T T T"
Sm 0.000 0.000 0.000
Sm 3.159 0.000 2.399
Sm 8.137 0.000 5.012
Ge -2.420 0.000 3.706
Ge 0.489 0.000 7.364
Ge 10.807 0.000 0.047
Pt -0.014 0.000 2.969
Pt -1.886 0.000 6.255
Pt 2.037 0.000 5.490
Pt 6.480 0.000 2.334
Pt 4.816 0.000 5.077
Pt 9.259 0.000 1.922
Pt 13.182 0.000 1.157
Pt 11.310 0.000 4.443
```

***

# 9
Below is crystalline Sm4GePt at its relaxed geometry, with properties calculated at the GGA-PBE level.

## Properties
E_form in kJ/mol of formula units: -412

```
24
Lattice="7.886 0.000 0.000 0.000 4.425 0.000 0.000 0.000 18.453" Properties=species:S:1:pos:R:3 pbc="T T T"
Sm 0.104 1.106 4.096
Sm 0.157 1.106 17.158
Sm 1.083 1.106 8.094
Sm 1.139 1.106 12.019
Sm 2.804 3.319 2.792
Sm 2.860 3.319 17.321
Sm 3.786 3.319 7.931
Sm 3.839 3.319 13.323
Sm 4.047 1.106 5.131
Sm 4.099 1.106 10.522
Sm 5.026 1.106 1.132
Sm 5.082 1.106 15.661
Sm 6.747 3.319 6.434
Sm 6.803 3.319 10.359
Sm 7.729 3.319 1.296
Sm 7.781 3.319 14.357
Ge 1.770 3.319 5.674
Ge 2.173 1.106 14.901
Ge 5.713 3.319 3.552
Ge 6.115 1.106 12.779
Pt 1.929 3.319 10.188
Pt 2.013 1.106 0.961
Pt 5.872 3.319 17.493
Pt 5.956 1.106 8.266
```

***

# 10
Below is crystalline Sm3Ge13Pt4 at its relaxed geometry, with properties calculated at the GGA-PBE level.

## Properties
E_form in kJ/mol of formula units: -1042

```
40
Lattice="6.497 -6.472 0.000 6.497 6.472 0.000 -0.052 0.000 9.172" Properties=species:S:1:pos:R:3 pbc="T T T"
Sm 6.497 -6.472 0.000
Sm 6.471 6.472 4.586
Sm 4.854 1.627 2.279
Sm 4.827 -1.627 6.865
Sm 8.074 1.610 6.864
Sm 8.100 -1.610 2.278
Ge 10.465 -2.520 0.033
Ge 2.171 2.150 0.858
Ge 4.014 4.014 4.282
Ge 3.265 3.240 6.833
Ge 2.282 0.877 6.863
Ge 5.816 4.271 6.857
Ge 6.412 4.394 2.267
Ge 2.308 -0.877 2.277
Ge 5.047 1.423 5.755
Ge 8.559 4.348 8.186
Ge 2.144 -2.150 5.444
Ge 5.500 0.922 8.456
Ge 5.526 -0.922 3.870
Ge 8.089 1.593 1.266
Ge 5.073 -1.423 1.169
Ge 7.489 0.993 3.805
Ge 3.291 -3.240 2.247
Ge 10.439 2.520 4.619
Ge 3.988 -4.014 8.868
Ge 7.463 -0.993 8.391
Ge 8.063 -1.593 5.852
Ge 5.842 -4.271 2.271
Ge 10.891 0.190 6.884
Ge 6.386 -4.394 6.853
Ge 10.917 -0.190 2.298
Ge 8.585 -4.348 3.600
Pt 3.191 0.020 4.551
Pt 3.164 -0.020 9.137
Pt 6.487 3.237 4.560
Pt 6.433 3.196 9.167
Pt 6.459 -3.196 4.581
Pt 9.726 0.020 4.612
Pt 6.461 -3.237 9.146
Pt 9.753 -0.020 0.026
```